Entry from Alexandria via LeMat-Bulk: TbScGa2Au2 after structural relaxation (PBE-GGA).

Results
- formation energy (eV per atom) = -0.77
- total energy (eV for the cell shown) = -28.17
- crystal system = trigonal
- space group = P-3m1 (164)

a b c (Å): 4.487 4.487 6.874
angles (deg): 90.00 90.00 120.00
Positions (direct):
Tb 0.000 0.000 0.000
Sc 0.000 0.000 0.500
Ga 0.333 0.667 0.721
Ga 0.667 0.333 0.279
Au 0.333 0.667 0.277
Au 0.667 0.333 0.723